Here is a relaxed Ac2CdAg4 crystal from Alexandria via LeMat-Bulk. Energies are from PBE.

## Properties
Its space group is P2/m. The calculation puts the energy relative to the lowest polymorph listed for this composition at 0.0 meV/atom.

Geometry as POSCAR:
```
Ac2CdAg4
1.0
4.267 0.000 0.000
0.000 4.742 -3.027
0.000 -0.749 9.945
Ag Cd Ac
4 1 2
Direct
0.500 0.319 0.109
0.000 0.618 0.362
0.500 0.681 0.891
0.000 0.382 0.638
0.000 0.500 0.000
0.500 0.937 0.678
0.500 0.063 0.322
```

***

Here is a relaxed AcCd2Ag6 crystal from Alexandria via LeMat-Bulk. Energies are from PBE.

## Properties
Its space group is Fd-3m.

Geometry as POSCAR:
```
AcCd2Ag6
1.0
8.834 0.000 0.000
4.417 7.651 0.000
4.417 2.550 7.213
Cd Ag Ac
4 12 2
Direct
0.125 0.625 0.125
0.125 0.125 0.125
0.625 0.125 0.125
0.125 0.125 0.625
0.503 0.997 0.503
0.253 0.747 0.253
0.997 0.997 0.503
0.997 0.503 0.997
0.503 0.503 0.997
0.747 0.253 0.253
0.997 0.503 0.503
0.747 0.747 0.253
0.253 0.747 0.747
0.503 0.997 0.997
0.747 0.253 0.747
0.253 0.253 0.747
0.500 0.500 0.500
0.750 0.750 0.750
```

***

Here is a relaxed Ac3Cd9Ag2 crystal from Alexandria via LeMat-Bulk. Energies are from PBE.

## Properties
Its space group is Immm.

Geometry as POSCAR:
```
Ac3Cd9Ag2
1.0
-4.094 1.507 -2.477
-5.952 -6.965 0.520
-6.459 1.300 6.387
Cd Ag Ac
9 2 3
Direct
0.000 0.500 0.500
0.866 0.418 0.850
0.341 0.300 0.017
0.659 0.700 0.983
0.341 0.017 0.300
0.866 0.850 0.418
0.134 0.150 0.582
0.134 0.582 0.150
0.659 0.983 0.700
0.500 0.683 0.317
0.500 0.317 0.683
0.700 0.300 0.300
0.300 0.700 0.700
0.000 0.000 0.000
```

***

Here is a relaxed AcCd6Ag4 crystal from Alexandria via LeMat-Bulk. Energies are from PBE.

## Properties
Its space group is I-42m. The calculation puts the energy relative to the lowest polymorph listed for this composition at 76.1 meV/atom.

Geometry as POSCAR:
```
AcCd6Ag4
1.0
7.312 -0.197 -0.289
-3.555 6.392 0.289
-3.555 -2.081 6.051
Cd Ag Ac
6 4 1
Direct
0.500 0.500 0.000
0.618 0.106 0.106
0.000 0.511 0.894
0.382 0.489 0.489
0.500 0.000 0.500
0.000 0.894 0.511
0.000 0.588 0.257
0.331 0.743 0.743
0.669 0.412 0.412
0.000 0.257 0.588
0.000 0.000 0.000
```

***

Here is a relaxed Ac2Cd3Ag4 crystal from Alexandria via LeMat-Bulk. Energies are from PBE.

## Properties
Its space group is Cmce. The calculation puts the energy relative to the lowest polymorph listed for this composition at 22.2 meV/atom.

Geometry as POSCAR:
```
Ac2Cd3Ag4
1.0
6.297 0.000 0.000
0.000 8.522 0.000
-3.148 0.000 8.498
Ag Cd Ac
8 6 4
Direct
0.821 0.028 0.643
0.197 0.750 0.895
0.303 0.250 0.105
0.803 0.250 0.105
0.321 0.472 0.643
0.179 0.972 0.357
0.679 0.528 0.357
0.697 0.750 0.895
0.500 0.500 0.000
0.528 0.750 0.556
0.972 0.250 0.444
0.000 0.000 0.000
0.028 0.750 0.556
0.472 0.250 0.444
0.114 0.582 0.229
0.386 0.082 0.771
0.886 0.418 0.771
0.614 0.918 0.229
```

***

Here is a relaxed Ac2Cd9Ag3 crystal from Alexandria via LeMat-Bulk. Energies are from PBE.

## Properties
Its space group is Cmcm.

Geometry as POSCAR:
```
Ac2Cd9Ag3
1.0
8.575 0.127 0.000
-4.124 7.520 0.000
0.000 0.000 10.431
Cd Ag Ac
18 6 4
Direct
0.337 0.337 0.952
0.860 0.860 0.750
0.140 0.140 0.250
0.016 0.344 0.083
0.656 0.984 0.583
0.648 0.441 0.750
0.984 0.656 0.917
0.656 0.984 0.917
0.984 0.656 0.583
0.441 0.648 0.750
0.663 0.663 0.452
0.016 0.344 0.417
0.344 0.016 0.417
0.559 0.352 0.250
0.337 0.337 0.548
0.352 0.559 0.250
0.663 0.663 0.048
0.344 0.016 0.083
0.317 0.683 0.000
0.683 0.317 0.500
0.000 0.000 0.000
0.317 0.683 0.500
0.000 0.000 0.500
0.683 0.317 0.000
0.682 0.000 0.250
0.318 0.000 0.750
0.000 0.318 0.750
0.000 0.682 0.250
```

***

Here is a relaxed Ac4CdAg3 crystal from Alexandria via LeMat-Bulk. Energies are from PBE.

## Properties
Its space group is Pmm2. The calculation puts the energy relative to the lowest polymorph listed for this composition at 18.3 meV/atom.

Geometry as POSCAR:
```
Ac4CdAg3
1.0
-3.543 2.325 -0.353
0.397 -0.160 -5.030
-6.642 -10.153 -0.200
Ag Ac Cd
3 4 1
Direct
0.500 0.000 0.924
0.000 0.000 0.428
0.000 0.500 0.573
0.500 0.000 0.642
0.000 0.500 0.848
0.500 0.500 0.362
0.000 0.000 0.149
0.500 0.500 0.073
```

***

Here is a relaxed Ac5CdAg4 crystal from Alexandria via LeMat-Bulk. Energies are from PBE.

## Properties
Its space group is P4/mmm.

Geometry as POSCAR:
```
Ac5CdAg4
1.0
-1.411 -3.643 0.758
3.115 -1.600 -1.890
10.224 -0.388 17.175
Ac Ag Cd
5 4 1
Direct
0.500 0.500 0.302
0.500 0.500 0.500
0.500 0.500 0.895
0.500 0.500 0.105
0.500 0.500 0.698
0.000 0.000 0.402
0.000 0.000 0.204
0.000 0.000 0.796
0.000 0.000 0.598
0.000 0.000 0.000
```

***

The following ΔH_f (0 K) values (in eV per atom) correspond, in order, to the records above: -0.1448, 0.2545, -0.2709, -0.0674, -0.2191, -0.2112, -0.2570, -0.2705.